# 1
Material: Sr2TaAl
Method: DFT, SCAN
State: single point on PBEsol structure

Values from the calculation:
DOS(E_F) ... 4.175 states/eV/f.u.
Total DFT energy (no corrections) ... -28.87 eV/atom
SG ... R-3m
ΔE_f ... 0.85 eV per atom

Cell: 3.311 3.311 11.263 Å, 81.55 81.55 60.00°
Positions (direct):
Al: 0.000 0.000 0.000
Ta: 0.500 0.500 0.500
Sr: 0.249 0.249 0.254
Sr: 0.751 0.751 0.746



# 2
Material: CdP2Ru
Method: DFT, SCAN
State: single point on PBEsol structure

Values from the calculation:
DOS(E_F) ... 1.630 states/eV/f.u.
Total DFT energy (no corrections) ... -21.53 eV/atom
SG ... C2/m
ΔE_f ... -0.02 eV per atom

Cell: 2.962 3.842 6.808 Å, 73.73 77.44 67.32°
Positions (direct):
Ru: 0.000 0.500 0.500
Cd: 0.500 0.000 0.000
P: 0.758 0.161 0.322
P: 0.242 0.839 0.678



# 3
Material: CdFe2Cl
Method: DFT, SCAN
State: single point on PBEsol structure

Values from the calculation:
Polymorph energy (0 for the lowest one) ... 0.099 eV per atom
DOS(E_F) ... 2.338 states/eV/f.u.
Total DFT energy (no corrections) ... -18.36 eV/atom
Formation energy (no corrections) ... 29 kJ per mole of atoms
SG ... P4/mmm

Cell: 2.857 2.857 7.136 Å, 90.00 90.00 90.00°
Each line ends with the local moment (μB).
Positions (direct):
Cl: 0.500 0.500 0.500  0.13
Cd: 0.500 0.500 0.000  -0.09
Fe: 0.000 0.000 0.278  2.99
Fe: 0.000 0.000 0.722  2.99



# 4
Material: Al2OsRu
Method: DFT, SCAN
State: single point on PBEsol structure

Values from the calculation:
DOS(E_F) ... 1.400 states/eV/f.u.
Total DFT energy (no corrections) ... -31.13 eV/atom
SG ... Imm2
ΔE_f ... -0.58 eV per atom

Cell: 2.972 4.106 5.133 Å, 113.58 106.83 90.00°
Positions (direct):
Ru: 0.247 0.747 0.495
Al: 0.758 0.258 0.516
Os: 0.504 0.504 0.009
Al: 0.990 0.990 0.980



# 5
Material: MnFePd6
Method: DFT, SCAN
State: single point on PBEsol structure

Values from the calculation:
DOS(E_F) ... 4.638 states/eV/f.u.
Total DFT energy (no corrections) ... -29.45 eV/atom
SG ... P4/mmm
ΔE_f ... -0.32 eV per atom

Cell: 3.833 3.833 7.663 Å, 90.00 90.00 90.00°
Each line ends with the local moment (μB).
Positions (direct):
Pd: 0.500 0.000 0.246  0.31
Mn: 0.000 0.000 0.500  4.09
Pd: 0.500 0.000 0.754  0.31
Pd: 0.000 0.500 0.754  0.31
Fe: 0.000 0.000 0.000  3.51
Pd: 0.000 0.500 0.246  0.31
Pd: 0.500 0.500 0.500  0.28
Pd: 0.500 0.500 0.000  0.34



# 6
Material: MgIn2Cu
Method: DFT, SCAN
State: single point on PBEsol structure

Values from the calculation:
DOS(E_F) ... 1.615 states/eV/f.u.
Total DFT energy (no corrections) ... -21.74 eV/atom
SG ... P4mm
ΔE_f ... 0.00 eV per atom

Cell: 3.122 3.122 8.161 Å, 90.00 90.00 90.00°
Positions (direct):
Cu: 0.500 0.500 0.743
In: 0.500 0.500 0.261
In: 0.000 0.000 0.949
Mg: 0.000 0.000 0.548



# 7
Material: Mn2ZnPt
Method: DFT, SCAN
State: single point on PBEsol structure

Values from the calculation:
DOS(E_F) ... 2.834 states/eV/f.u.
Total DFT energy (no corrections) ... -30.44 eV/atom
SG ... P4mm
ΔE_f ... -0.38 eV per atom

Cell: 2.950 2.950 5.856 Å, 90.00 90.00 90.00°
Each line ends with the local moment (μB).
Positions (direct):
Mn: 0.500 0.500 0.222  3.54
Mn: 0.000 0.000 0.017  -3.19
Zn: 0.500 0.500 0.765  0.04
Pt: 0.000 0.000 0.495  0.30



# 8
Material: CsB3Ir
Method: DFT, SCAN
State: single point on PBEsol structure

Values from the calculation:
DOS(E_F) ... 2.489 states/eV/f.u.
Total DFT energy (no corrections) ... -22.16 eV/atom
SG ... Pm-3m
ΔE_f ... 4.08 eV per atom

Cell: 4.282 4.282 4.282 Å, 90.00 90.00 90.00°
Positions (direct):
Ir: 0.500 0.500 0.500
B: 0.500 0.000 0.000
Cs: 0.000 0.000 0.000
B: 0.000 0.000 0.500
B: 0.000 0.500 0.000



# 9
Material: Sr2TaSb
Method: DFT, SCAN
State: single point on PBEsol structure

Values from the calculation:
DOS(E_F) ... 3.983 states/eV/f.u.
Total DFT energy (no corrections) ... -36.65 eV/atom
Formation energy (no corrections) ... 43 kJ per mole of atoms
SG ... I4/mmm

Cell: 4.537 4.537 6.076 Å, 111.92 111.92 90.00°
Each line ends with the local moment (μB).
Positions (direct):
Sr: 0.250 0.750 0.500  0.14
Ta: 0.000 0.000 0.000  1.69
Sr: 0.750 0.250 0.500  0.14
Sb: 0.500 0.500 0.000  -0.06



# 10
Material: Dy3Hg
Method: DFT, SCAN
State: single point on PBEsol structure

Values from the calculation:
DOS(E_F) ... 4.053 states/eV/f.u.
Total DFT energy (no corrections) ... -53.20 eV/atom
SG ... Pm-3m
ΔE_f ... -0.31 eV per atom

Cell: 4.693 4.693 4.693 Å, 90.00 90.00 90.00°
Each line ends with the local moment (μB).
Positions (direct):
Dy: 0.500 0.000 0.500  0.26
Hg: 0.000 0.000 0.000  0.01
Dy: 0.000 0.500 0.500  0.26
Dy: 0.500 0.500 0.000  0.26



# 11
Material: AgPRuI2
Method: DFT, SCAN
State: single point on PBEsol structure

Values from the calculation:
DOS(E_F) ... 1.848 states/eV/f.u.
Total DFT energy (no corrections) ... -29.23 eV/atom
Formation energy (no corrections) ... 75 kJ per mole of atoms
SG ... P4/mmm

Cell: 4.335 5.530 5.530 Å, 90.00 90.00 90.00°
Each line ends with the local moment (μB).
Positions (direct):
P: 0.000 0.000 0.000  -0.03
I: 0.000 0.500 0.000  0.01
Ag: 0.500 0.500 0.500  0.00
I: 0.000 0.000 0.500  0.01
Ru: 0.500 0.000 0.000  1.19



# 12
Material: Zr2ZnBr
Method: DFT, SCAN
State: single point on PBEsol structure

Values from the calculation:
Polymorph energy (0 for the lowest one) ... 0.375 eV per atom
DOS(E_F) ... 3.786 states/eV/f.u.
Total DFT energy (no corrections) ... -23.54 eV/atom
Formation energy (no corrections) ... 5 kJ per mole of atoms
SG ... I-4m2

Cell: 3.997 3.997 5.626 Å, 110.81 110.81 90.00°
Positions (direct):
Br: 0.500 0.500 0.000
Zn: 0.250 0.750 0.500
Zr: 0.000 0.000 0.000
Zr: 0.750 0.250 0.500